1.
Rb3Nd2TmSe6, relaxed, DFT PBE-GGA; crystal system = monoclinic; raw formation energy = -1727 meV per atom; DFT total energy = -4.8786 eV per atom
1.0
7.478 -0.001 0.000
-3.738 6.476 0.000
-1.248 -2.160 8.015
Rb Nd Tm Se
3 2 1 6
Cartesian
-2.470 4.304 4.007
4.962 0.011 4.007
1.246 2.157 4.007
0.003 4.316 0.000
3.737 2.159 0.000
0.000 0.000 0.000
3.698 2.226 6.427
2.534 4.388 1.591
-1.206 2.089 1.587
0.080 4.315 6.427
-0.042 -0.073 6.423
2.412 -0.001 1.587

***

2.
Rb2NdUSe6, relaxed, DFT PBE-GGA; crystal system = orthorhombic; raw formation energy = -1216 meV per atom; DFT total energy = -5.1063 eV per atom
1.0
-7.501 -1.916 1.499
-0.784 -2.699 -7.374
3.259 -10.128 3.361
Rb Nd U Se
4 2 2 12
Cartesian
-3.523 -5.515 -3.939
2.248 -8.273 0.676
-1.895 -10.577 -2.260
0.618 -3.206 -1.005
1.041 -7.087 -3.846
-3.947 -1.634 -1.098
-2.317 -6.695 0.590
-0.589 -2.026 -5.535
-3.098 -4.268 -0.216
-1.536 -9.124 1.395
0.193 -4.454 -4.728
1.889 -9.726 -2.979
-0.331 -5.589 1.997
-3.927 -6.508 2.716
-0.706 -6.883 -1.536
-4.304 -7.802 -0.817
-6.103 -2.835 -2.628
-2.200 -1.839 -3.408
-2.575 -3.132 -6.942
-6.479 -4.129 -6.161

***

3.
Rb4NdU3Se8, relaxed, DFT PBE-GGA; crystal system = trigonal; raw formation energy = -1331 meV per atom; DFT total energy = -5.7298 eV per atom
1.0
8.570 0.000 0.000
0.000 9.435 0.609
-4.285 -4.283 6.061
Rb Nd U Se
4 1 3 8
Cartesian
4.285 0.000 0.000
2.142 -2.141 3.031
0.000 0.000 0.000
-2.142 -2.141 3.031
0.000 4.717 0.304
4.285 4.717 0.304
2.142 2.576 3.335
-2.142 2.576 3.335
-2.104 2.477 6.267
0.000 4.580 3.289
0.000 0.569 3.430
2.104 2.477 6.267
2.181 2.675 0.403
4.285 4.583 3.240
4.285 0.572 3.380
6.389 2.675 0.403

***

4.
Rb4Nd3USe8, relaxed, DFT PBE-GGA; crystal system = trigonal; raw formation energy = -1593 meV per atom; DFT total energy = -5.1763 eV per atom
1.0
8.715 0.000 0.000
0.000 9.460 0.518
-4.358 -4.355 6.164
Rb Nd U Se
4 3 1 8
Cartesian
4.358 0.000 0.000
2.179 -2.178 3.082
0.000 0.000 0.000
-2.179 -2.178 3.082
4.358 4.730 0.259
2.179 2.552 3.341
-2.179 2.552 3.341
0.000 4.730 0.259
-2.216 2.396 6.338
0.000 4.611 3.203
0.000 0.501 3.432
2.216 2.396 6.338
2.142 2.709 0.345
4.358 4.603 3.251
4.358 0.494 3.479
6.574 2.709 0.345

***

5.
Rb3Nd2USe6, relaxed, DFT PBE-GGA; crystal system = monoclinic; raw formation energy = -1546 meV per atom; DFT total energy = -5.2652 eV per atom
1.0
-4.388 5.026 -3.506
-1.525 -2.032 7.096
6.632 4.960 1.512
Rb Nd U Se
3 2 1 6
Cartesian
1.308 1.637 6.065
-0.590 6.317 -0.964
0.359 3.977 2.551
-2.480 0.322 3.560
-3.433 2.672 0.030
0.000 0.000 0.000
0.284 7.427 2.232
-3.038 3.210 2.957
0.435 0.527 2.869
1.223 5.112 5.709
3.757 4.744 2.144
-0.504 2.842 -0.607

***

6.
Rb4Nd3VSe8, relaxed, DFT PBE-GGA; crystal system = trigonal; raw formation energy = -1458 meV per atom; DFT total energy = -4.9056 eV per atom
1.0
8.527 0.000 0.000
0.000 9.382 0.595
-4.263 -4.259 6.033
Rb Nd V Se
4 3 1 8
Cartesian
4.263 0.000 0.000
2.132 -2.129 3.016
0.000 0.000 0.000
-2.132 -2.129 3.016
4.263 4.691 0.297
2.132 2.562 3.314
-2.132 2.562 3.314
0.000 4.691 0.297
-2.304 2.332 6.287
0.000 4.633 3.028
0.000 0.510 3.372
2.304 2.332 6.287
1.960 2.791 0.341
4.263 4.614 3.256
4.263 0.490 3.600
6.567 2.791 0.341

***

7.
Rb3Nd3VSe8, relaxed, DFT PBE-GGA; crystal system = trigonal; raw formation energy = -1431 meV per atom; DFT total energy = -5.0447 eV per atom
1.0
8.414 0.000 0.000
-4.207 7.286 -0.032
0.000 -4.824 8.222
Rb Nd V Se
3 3 1 8
Cartesian
0.000 0.000 0.000
-2.103 3.643 -0.016
2.103 3.643 -0.016
4.207 -2.412 4.111
2.103 1.231 4.095
-2.103 1.231 4.095
0.000 -2.412 4.111
0.000 2.438 2.417
4.207 0.024 5.773
4.207 2.713 2.590
0.000 -0.251 5.601
6.548 -1.341 2.608
-2.341 3.804 5.583
1.866 -1.341 2.608
2.341 3.804 5.583

***

8.
Rb2NdYSe4, relaxed, DFT PBE-GGA; crystal system = monoclinic; raw formation energy = -1738 meV per atom; DFT total energy = -5.1263 eV per atom
1.0
-3.218 0.298 2.857
-4.971 -0.872 -5.507
1.869 -7.644 2.902
Rb Nd Y Se
2 1 1 4
Cartesian
-0.674 -3.673 2.880
-1.551 -4.258 -1.303
-4.095 -0.287 -1.325
0.000 0.000 0.000
-2.363 -1.554 0.757
-3.957 -6.664 -0.505
0.204 -6.343 0.891
-3.306 -2.174 -3.496